# 1
# LaAlTe2, relaxed, DFT PBE
# SG: R-3m (166)
data_LaAlTe2
_cell_length_a 9.766
_cell_length_b 9.766
_cell_length_c 9.766
_cell_angle_alpha 27.66
_cell_angle_beta 27.66
_cell_angle_gamma 27.66
_symmetry_space_group_name_H-M 'P 1'
_symmetry_Int_Tables_number 1
loop_
_symmetry_equiv_pos_as_xyz
'x,y,z'
loop_
_atom_site_label
_atom_site_type_symbol
_atom_site_fract_x
_atom_site_fract_y
_atom_site_fract_z
Te1 Te 0.896 0.896 0.896
Te2 Te 0.104 0.104 0.104
Al1 Al 0.000 0.000 0.000
La1 La 0.500 0.500 0.500

***

# 2
# KReIN2, relaxed, DFT PBE
# Energy above the lowest structure with this stoichiometry, meV/atom: 3105
# SG: P4/mmm (123)
data_KReIN2
_cell_length_a 4.254
_cell_length_b 4.254
_cell_length_c 5.911
_cell_angle_alpha 90.00
_cell_angle_beta 90.00
_cell_angle_gamma 90.00
_symmetry_space_group_name_H-M 'P 1'
_symmetry_Int_Tables_number 1
loop_
_symmetry_equiv_pos_as_xyz
'x,y,z'
loop_
_atom_site_label
_atom_site_type_symbol
_atom_site_fract_x
_atom_site_fract_y
_atom_site_fract_z
I1 I 0.000 0.000 0.500
Re1 Re 0.500 0.500 0.500
K1 K 0.000 0.000 0.000
N1 N 0.000 0.500 0.000
N2 N 0.500 0.000 0.000

***

| no. | total DFT energy (no corrections) (eV/cell) | M_tot (μB/cell) |
| --- | --- | --- |
| 1 | -17.382 | 0.000 |
| 2 | -14.293 | 0.025 |